The following is a PBE calculation of La3ZrSe after structural relaxation, from Alexandria via LeMat-Bulk.

Computed properties:
E_form (uncorrected) = 0.162 eV/atom
calculated total energy = -5.201 eV per atom

Unit cell a=5.6313 b=5.6313 c=5.6313 alpha=90.00 beta=90.00 gamma=90.00
Space group Pm-3m (No. 221)
Unique sites:
La 0.0000 0.0000 0.5000 x3
Zr 0.0000 0.0000 0.0000 x1
Se 0.5000 0.5000 0.5000 x1

The following is a PBE calculation of Cs3Tl3HgCl8 after structural relaxation, from Alexandria via LeMat-Bulk.

Computed properties:
E_form (uncorrected) = -1.309 eV/atom
calculated total energy = -2.958 eV per atom

Unit cell a=9.5957 b=9.5957 c=22.3606 alpha=90.00 beta=90.00 gamma=120.00
Space group R-3m (No. 166, hexagonal axes)
Unique sites:
Cs 0.0000 0.5000 0.0000 x9
Tl 0.0000 0.5000 0.5000 x9
Hg 0.0000 0.0000 0.0000 x3
Cl 0.0000 0.0000 0.2428 x6
Cl 0.0648 0.5324 0.7404 x18

The following is a PBE calculation of Nd3Hg4Rh4 after structural relaxation, from Alexandria via LeMat-Bulk.

Computed properties:
energy of formation = -0.385 eV/atom
calculated total energy = -4.468 eV per atom

Unit cell a=4.0075 b=7.9810 c=15.3383 alpha=90.00 beta=90.00 gamma=90.00
Space group Immm (No. 71)
Unique sites:
Nd 0.0000 0.0000 0.0000 x2
Nd 0.0000 0.5000 0.1177 x4
Hg 0.0000 0.3100 0.3338 x8
Rh 0.0000 0.0000 0.2426 x4
Rh 0.0000 0.1869 0.5000 x4

Number 3 is which compound?
Nd3Hg4Rh4

What is the formula in the first record?
La3ZrSe

Number 3 is which compound?
Nd3Hg4Rh4

Which value of calculated total energy does entry 2 give?
-2.958 eV per atom